Version P
{
  "formula": "Sc3InSe",
  "functional": "PBE",
  "state": "relaxed",
  "lattice": [[5.312, 0.000, 0.000], [0.000, 5.312, 0.000], [0.000, 0.000, 5.312]],
  "species": ["Sc", "Sc", "Sc", "In", "Se"],
  "frac_coords": [[0.000, 0.000, 0.500], [0.000, 0.500, 0.000], [0.500, 0.000, 0.000], [0.000, 0.000, 0.000], [0.500, 0.500, 0.500]],
  "sg": "Pm-3m",
  "dos_at_fermi_per_ev_atom": 1.867
}

---

Version Q
{
  "formula": "Sc3InSe",
  "functional": "PBE",
  "state": "relaxed",
  "lattice": [[4.978, 0.000, 0.000], [0.000, 4.978, 0.000], [0.000, 0.000, 4.978]],
  "species": ["Sc", "Sc", "Sc", "In", "Se"],
  "frac_coords": [[0.000, 0.000, 0.500], [0.000, 0.500, 0.000], [0.500, 0.000, 0.000], [0.500, 0.500, 0.500], [0.000, 0.000, 0.000]],
  "sg": "Pm-3m",
  "dos_at_fermi_per_ev_atom": 0.574
}

---

Version R
{
  "formula": "Sc3InSe",
  "functional": "PBE",
  "state": "relaxed",
  "lattice": [[6.612, 0.000, 0.000], [0.000, 4.014, 0.000], [-1.592, 0.000, 8.401]],
  "species": ["Sc", "Sc", "Sc", "Sc", "Sc", "Sc", "In", "In", "Se", "Se"],
  "frac_coords": [[0.034, 0.250, 0.196], [0.339, 0.750, 0.418], [0.462, 0.750, 0.820], [0.538, 0.250, 0.180], [0.661, 0.250, 0.582], [0.966, 0.750, 0.804], [0.163, 0.250, 0.616], [0.837, 0.750, 0.384], [0.260, 0.750, 0.079], [0.740, 0.250, 0.921]],
  "sg": "P2_1/m",
  "dos_at_fermi_per_ev_atom": 1.181
}

---

Stability ranking, top and bottom: version R is the most stable and version P is the least stable.

---

Version P
{
  "formula": "ScInSe",
  "functional": "PBE",
  "state": "relaxed",
  "lattice": [[4.554, 0.000, 0.000], [-2.277, 3.944, 0.000], [0.000, 0.000, 4.209]],
  "species": ["Sc", "In", "Se"],
  "frac_coords": [[0.000, 0.000, 0.000], [0.333, 0.667, 0.500], [0.667, 0.333, 0.000]],
  "sg": "P-6m2",
  "dos_at_fermi_per_ev_atom": 0.759
}

---

Version Q
{
  "formula": "ScInSe",
  "functional": "PBE",
  "state": "relaxed",
  "lattice": [[-1.773, 1.773, 5.845], [1.773, -1.773, 5.845], [1.773, 1.773, -5.845]],
  "species": ["Sc", "In", "Se"],
  "frac_coords": [[0.000, 0.000, 0.000], [0.670, 0.670, 0.000], [0.410, 0.410, 0.000]],
  "sg": "I4mm",
  "dos_at_fermi_per_ev_atom": 0.437
}

---

Version R
{
  "formula": "ScInSe",
  "functional": "PBE",
  "state": "relaxed",
  "lattice": [[3.724, 0.000, 0.000], [-1.862, 3.225, 0.000], [0.000, 0.000, 6.276]],
  "species": ["Sc", "In", "Se"],
  "frac_coords": [[0.000, 0.000, 0.000], [0.333, 0.667, 0.642], [0.667, 0.333, 0.240]],
  "sg": "P3m1",
  "dos_at_fermi_per_ev_atom": 0.942
}

---

Version S
{
  "formula": "ScInSe",
  "functional": "PBE",
  "state": "relaxed",
  "lattice": [[2.267, 1.309, 8.548], [-2.267, 1.309, 8.548], [0.000, -2.618, 8.548]],
  "species": ["Sc", "Sc", "In", "In", "Se", "Se"],
  "frac_coords": [[0.098, 0.098, 0.098], [0.902, 0.902, 0.902], [0.355, 0.355, 0.355], [0.645, 0.645, 0.645], [0.208, 0.208, 0.208], [0.792, 0.792, 0.792]],
  "sg": "R-3m",
  "dos_at_fermi_per_ev_atom": 0.420
}

---

Stability ranking, top and bottom: version Q is the most stable and version P is the least stable.

---

Version P
{
  "formula": "ScInSe3",
  "functional": "PBE",
  "state": "relaxed",
  "lattice": [[5.189, 0.000, 0.000], [0.000, 5.189, 0.000], [0.000, 0.000, 5.189]],
  "species": ["Sc", "In", "Se", "Se", "Se"],
  "frac_coords": [[0.000, 0.000, 0.000], [0.500, 0.500, 0.500], [0.000, 0.500, 0.500], [0.500, 0.000, 0.500], [0.500, 0.500, 0.000]],
  "sg": "Pm-3m",
  "dos_at_fermi_per_ev_atom": 0.297
}

---

Version Q
{
  "formula": "ScInSe3",
  "functional": "PBE",
  "state": "relaxed",
  "lattice": [[1.958, -10.149, 0.000], [1.958, 10.149, 0.000], [0.000, 0.000, 6.945]],
  "species": ["Sc", "Sc", "In", "In", "Se", "Se", "Se", "Se", "Se", "Se"],
  "frac_coords": [[0.171, 0.829, 0.500], [0.829, 0.171, 0.000], [0.357, 0.643, 0.516], [0.643, 0.357, 0.016], [0.092, 0.908, 0.812], [0.245, 0.755, 0.157], [0.406, 0.594, 0.865], [0.594, 0.406, 0.365], [0.755, 0.245, 0.657], [0.908, 0.092, 0.312]],
  "sg": "Cmc2_1"
}

---

Version R
{
  "formula": "ScInSe3",
  "functional": "PBE",
  "state": "relaxed",
  "lattice": [[5.226, 0.000, 0.000], [0.000, 5.226, 0.000], [0.000, 0.000, 5.226]],
  "species": ["Sc", "In", "Se", "Se", "Se"],
  "frac_coords": [[0.000, 0.000, 0.000], [0.500, 0.500, 0.500], [0.000, 0.000, 0.500], [0.000, 0.500, 0.000], [0.500, 0.000, 0.000]],
  "sg": "Pm-3m",
  "dos_at_fermi_per_ev_atom": 1.491
}

---

Stability ranking, top and bottom: version Q is the most stable and version P is the least stable.